Record 1
Below is a relaxed La2NbMo crystal, with properties calculated at the PBE level.

Values from the calculation:
Total energy, eV for the cell shown: -27.88
Formation enthalpy at 0 K, eV/f.u.: 2.87
Energy above the most stable polymorph in this dataset, eV/atom: 0.000
DOS at the Fermi energy, states/eV per cell: 6.59

a = 5.182 Å, b = 5.182 Å, c = 5.182 Å
α = 60.00°, β = 60.00°, γ = 60.00°
Fractional positions:
La 0.250 0.250 0.250
La 0.750 0.750 0.750
Nb 0.000 0.000 0.000
Mo 0.500 0.500 0.500

=====

Record 2
Below is a relaxed Sr6SbSe4 crystal, with properties calculated at the PBE level.

Values from the calculation:
Total energy, eV for the cell shown: -93.86
E_form (uncorrected), eV per atom: -1.707
DOS at the Fermi energy, states/eV per cell: 2.69

a = 7.654 Å, b = 7.654 Å, c = 22.513 Å
α = 90.00°, β = 90.00°, γ = 145.60°
Fractional positions:
Sr 0.000 0.000 0.000
Sr 0.000 0.000 0.500
Sr 0.173 0.827 0.750
Sr 0.272 0.728 0.086
Sr 0.272 0.728 0.414
Sr 0.456 0.544 0.666
Sr 0.456 0.544 0.834
Sr 0.544 0.456 0.166
Sr 0.544 0.456 0.334
Sr 0.728 0.272 0.586
Sr 0.728 0.272 0.914
Sr 0.827 0.173 0.250
Sb 0.161 0.839 0.250
Sb 0.839 0.161 0.750
Se 0.093 0.907 0.623
Se 0.093 0.907 0.877
Se 0.362 0.638 0.542
Se 0.362 0.638 0.958
Se 0.638 0.362 0.042
Se 0.638 0.362 0.458
Se 0.907 0.093 0.123
Se 0.907 0.093 0.377

=====

Repeat the first record exactly.
Below is a relaxed La2NbMo crystal, with properties calculated at the PBE level.

Values from the calculation:
Total energy, eV for the cell shown: -27.88
Formation enthalpy at 0 K, eV/f.u.: 2.87
Energy above the most stable polymorph in this dataset, eV/atom: 0.000
DOS at the Fermi energy, states/eV per cell: 6.59

a = 5.182 Å, b = 5.182 Å, c = 5.182 Å
α = 60.00°, β = 60.00°, γ = 60.00°
Fractional positions:
La 0.250 0.250 0.250
La 0.750 0.750 0.750
Nb 0.000 0.000 0.000
Mo 0.500 0.500 0.500

=====

Question: Which formula does entry 2 have?
Answer: Sr6SbSe4